Record 1
Below is a relaxed structure of TlSnRh2Cl, with properties calculated at the GGA-PBE level.

```
TlSnRh2Cl
1.0
-0.342 4.235 1.525
-5.019 -1.195 2.191
1.980 -1.232 3.865
Sn Tl Rh Cl
1 1 2 1
Cartesian
-1.691 0.904 3.790 Sn
-2.510 -0.597 1.095 Tl
-0.171 2.117 0.763 Rh
0.990 -0.616 1.932 Rh
0.000 0.000 0.000 Cl
```

Summary:
As for the formation energy from raw total energies: 2.96 eV per formula unit. The final energy is -3.99 eV/atom. The total magnetic moment comes out at 0.4 μB/f.u.

=====

Record 2
Below is a relaxed structure of Ac2Sm3Ho7, with properties calculated at the GGA-PBE level.

```
Ac2Sm3Ho7
1.0
-0.195 -1.922 3.043
-5.136 -3.147 -2.317
10.566 -12.200 -7.026
Sm Ho Ac
3 7 2
Cartesian
-1.522 -7.281 -4.696 Sm
-2.666 -2.534 0.363 Sm
6.953 -8.066 -4.648 Sm
1.276 -9.438 -3.744 Ho
3.959 -7.831 -2.557 Ho
0.000 0.000 0.000 Ho
7.222 -11.272 -6.655 Ho
-1.792 -4.075 -2.689 Ho
4.493 -13.814 -6.301 Ho
0.742 -3.455 0.000 Ho
0.752 -6.497 -1.920 Ac
4.483 -10.772 -4.381 Ac
```

Summary:
The final energy is -4.42 eV/atom. The total magnetic moment comes out at 0.0 μB/f.u.

=====

Record 3
Below is a relaxed structure of Cs2CdAgHg, with properties calculated at the GGA-PBE level.

```
Cs2CdAgHg
1.0
-4.035 5.328 2.287
-5.083 -1.909 -4.520
-2.146 -3.251 3.787
Cs Ag Cd Hg
2 1 1 1
Cartesian
-2.541 -0.955 -2.260 Cs
-2.018 2.664 1.143 Cs
-1.073 -1.625 1.893 Ag
-5.632 0.084 0.777 Cd
0.000 0.000 0.000 Hg
```

Summary:
The final energy is -1.09 eV/atom. The total magnetic moment comes out at 0.0 μB/f.u. The calculation puts the energy above the most stable polymorph in this dataset at 68 meV/atom.

=====

Record 4
Below is a relaxed structure of CsNb3Tc, with properties calculated at the GGA-PBE level.

```
CsNb3Tc
1.0
-0.078 3.512 3.536
-4.385 -1.729 1.621
2.368 -3.085 3.117
Nb Tc Cs
3 1 1
Cartesian
-0.039 1.756 1.768 Nb
1.184 -1.543 1.559 Nb
-2.192 -0.864 0.810 Nb
-1.047 -0.651 4.137 Tc
0.000 0.000 0.000 Cs
```

Summary:
The final energy is -5.20 eV/atom. The total magnetic moment comes out at 3.6 μB/f.u. The calculation puts the energy above the most stable polymorph in this dataset at 1667 meV/atom.

=====

> Look up the final energy of the first one.

-3.99 eV/atom